The following is a DFT calculation (PBE) of a geometry-optimized CaCdOs structure.

Output
For the formation energy, the calculation gives 1.34 eV/atom. For the excess energy over the best structure of this formula in the dataset, the calculation gives 0.919 eV/atom.

Lattice parameters (Å, degrees): 6.7378 6.7378 6.7378 90.00 90.00 90.00
Sites, in units of the cell vectors:
Ca: 0.0000 0.0000 0.0000
Ca: 0.0000 0.5000 0.5000
Ca: 0.5000 0.0000 0.5000
Ca: 0.5000 0.5000 0.0000
Cd: 0.2500 0.2500 0.2500
Cd: 0.2500 0.7500 0.7500
Cd: 0.7500 0.2500 0.7500
Cd: 0.7500 0.7500 0.2500
Os: 0.2500 0.2500 0.7500
Os: 0.2500 0.7500 0.2500
Os: 0.7500 0.2500 0.2500
Os: 0.7500 0.7500 0.7500